1.
RuAu | PBE-GGA | relaxed

Cell and atoms, written as POSCAR:
```
RuAu
1.0
-4.5556 -2.2354 1.5624
-2.6447 -4.2779 1.7020
-0.2201 0.2804 7.1160
Au Ru
3 3
direct
0.3427 0.3427 0.3641
0.6310 0.6310 0.2626
0.9813 0.9813 0.0062
0.9497 0.9497 0.6324
0.6587 0.6587 0.6746
0.2699 0.2699 0.8935
```

Summary:
Its density of states at the Fermi level is 1.216 states/eV/atom. As for the theoretical density: 15.307 g cm⁻³. As for the crystal system: monoclinic. The value obtained for the formation energy is 0.66 eV/f.u. As for the space-group type: Cm, No. 8. The energy above the lowest structure with this stoichiometry comes out at 0.152 eV per atom. The value obtained for the total magnetization is 0.00 μB/cell.



2.
Ru2Au | PBE-GGA | relaxed

Cell and atoms, written as POSCAR:
```
Ru2Au
1.0
2.7579 0.0000 0.0000
0.0000 4.2939 0.0000
0.0000 0.0000 16.8087
Au Ru
4 8
direct
0.0000 0.7500 0.3760
0.0000 0.2500 0.6240
0.5000 0.7500 0.1240
0.5000 0.2500 0.8760
0.0000 0.7500 0.8107
0.0000 0.2500 0.0368
0.5000 0.7500 0.6893
0.0000 0.2500 0.1893
0.0000 0.7500 0.9632
0.5000 0.7500 0.5368
0.5000 0.2500 0.4632
0.5000 0.2500 0.3107
```

Summary:
Its density of states at the Fermi level is 1.223 states/eV/atom. As for the theoretical density: 13.318 g cm⁻³. As for the crystal system: orthorhombic. The value obtained for the formation energy is 1.86 eV/f.u. As for the space-group type: Imma, No. 74. The energy above the lowest structure with this stoichiometry comes out at 0.394 eV per atom. The value obtained for the total magnetization is 0.00 μB/cell.



3.
Ru2Au | PBE-GGA | relaxed

Cell and atoms, written as POSCAR:
```
Ru2Au
1.0
2.0544 3.9227 -4.5093
-2.9797 -0.3136 5.5646
3.4318 0.3369 1.8566
Au Ru
2 4
direct
0.9158 0.0842 0.2500
0.0842 0.9158 0.7500
0.4031 0.5969 0.7500
0.7522 0.2478 0.7500
0.2478 0.7522 0.2500
0.5969 0.4031 0.2500
```

Summary:
Its density of states at the Fermi level is 1.181 states/eV/atom. As for the theoretical density: 14.528 g cm⁻³. As for the crystal system: orthorhombic. The value obtained for the formation energy is 1.05 eV/f.u. As for the space-group type: Cmcm, No. 63. The energy above the lowest structure with this stoichiometry comes out at 0.122 eV per atom. The value obtained for the total magnetization is 0.00 μB/cell.



4.
RuAu | PBE-GGA | relaxed

Cell and atoms, written as POSCAR:
```
RuAu
1.0
7.0837 0.0000 0.0000
0.0000 7.0837 0.0000
0.0000 0.0000 7.0837
Au Ru
6 6
direct
0.7500 0.0000 0.5000
0.2500 0.0000 0.5000
0.5000 0.2500 0.0000
0.0000 0.5000 0.7500
0.5000 0.7500 0.0000
0.0000 0.5000 0.2500
0.0000 0.7500 0.5000
0.5000 0.0000 0.2500
0.7500 0.5000 0.0000
0.2500 0.5000 0.0000
0.0000 0.2500 0.5000
0.5000 0.0000 0.7500
```

Summary:
Its density of states at the Fermi level is 2.088 states/eV/atom. As for the theoretical density: 8.354 g cm⁻³. As for the crystal system: cubic. The value obtained for the formation energy is 3.53 eV/f.u. As for the space-group type: Pm-3n, No. 223. The energy above the lowest structure with this stoichiometry comes out at 1.587 eV per atom. The value obtained for the total magnetization is 1.26 μB/cell.



5.
RuAu | PBE-GGA | relaxed

Cell and atoms, written as POSCAR:
```
RuAu
1.0
4.6972 0.0000 0.0000
0.0000 4.8236 0.0000
0.0000 0.0000 5.6160
Au Ru
4 4
direct
0.2500 0.5932 0.3719
0.7500 0.4068 0.6281
0.7500 0.9068 0.8719
0.2500 0.0932 0.1281
0.2500 0.0795 0.6330
0.7500 0.4205 0.1330
0.7500 0.9205 0.3670
0.2500 0.5795 0.8670
```

Summary:
Its density of states at the Fermi level is 1.419 states/eV/atom. As for the theoretical density: 15.558 g cm⁻³. As for the crystal system: orthorhombic. The value obtained for the formation energy is 0.93 eV/f.u. As for the space-group type: Pnma, No. 62. The energy above the lowest structure with this stoichiometry comes out at 0.285 eV per atom. The value obtained for the total magnetization is 0.79 μB/cell.



6.
Ru5Au | PBE-GGA | relaxed

Cell and atoms, written as POSCAR:
```
Ru5Au
1.0
1.3873 -7.1904 0.0000
1.3873 7.1904 0.0000
0.0000 0.0000 4.3781
Ru Au
5 1
direct
0.2222 0.7778 0.5000
0.3265 0.6735 0.0000
0.5608 0.4392 0.5000
0.8854 0.1146 0.5000
0.6729 0.3271 0.0000
0.9989 0.0011 0.0000
```

Summary:
Its density of states at the Fermi level is 1.295 states/eV/atom. As for the theoretical density: 13.352 g cm⁻³. As for the crystal system: orthorhombic. The value obtained for the formation energy is 1.32 eV/f.u. As for the space-group type: Amm2, No. 38. The energy above the lowest structure with this stoichiometry comes out at 0.017 eV per atom. The value obtained for the total magnetization is 0.13 μB/cell.



7.
Ru2Au | PBE-GGA | relaxed

Cell and atoms, written as POSCAR:
```
Ru2Au
1.0
-1.7686 1.7686 8.2114
1.7686 -1.7686 8.2114
1.7686 1.7686 -8.2114
Au Ru
2 4
direct
0.7500 0.2500 0.5000
0.0000 0.0000 0.0000
0.4240 0.4240 0.0000
0.3260 0.8260 0.5000
0.5760 0.5760 0.0000
0.1740 0.6740 0.5000
```

Summary:
Its density of states at the Fermi level is 0.993 states/eV/atom. As for the theoretical density: 12.901 g cm⁻³. As for the crystal system: tetragonal. The value obtained for the formation energy is 2.31 eV/f.u. As for the space-group type: I4_1/amd, No. 141. The energy above the lowest structure with this stoichiometry comes out at 0.543 eV per atom. The value obtained for the total magnetization is 0.00 μB/cell.



8.
Ru2Au | PBE-GGA | relaxed

Cell and atoms, written as POSCAR:
```
Ru2Au
1.0
1.3907 5.0734 -0.0044
-1.3907 5.0734 -0.0044
0.0000 1.6790 6.4997
Ru Au
4 2
direct
0.6881 0.6881 0.3769
0.3119 0.3119 0.6231
0.0295 0.0295 0.6716
0.9705 0.9705 0.3284
0.3625 0.3625 0.0325
0.6375 0.6375 0.9675
```

Summary:
Its density of states at the Fermi level is 0.988 states/eV/atom. As for the theoretical density: 14.449 g cm⁻³. As for the crystal system: monoclinic. The value obtained for the formation energy is 0.73 eV/f.u. As for the space-group type: C2/m, No. 12. The energy above the lowest structure with this stoichiometry comes out at 0.016 eV per atom. The value obtained for the total magnetization is 0.00 μB/cell.



9.
RuAu2 | PBE-GGA | relaxed

Cell and atoms, written as POSCAR:
```
RuAu2
1.0
-1.4188 2.0682 4.3079
1.4188 -2.0682 4.3079
1.4188 2.0682 -4.3079
Au Ru
2 1
direct
0.3365 0.3365 0.0000
0.6635 0.6635 0.0000
0.0000 0.0000 0.0000
```

Summary:
Its density of states at the Fermi level is 1.085 states/eV/atom. As for the theoretical density: 16.256 g cm⁻³. As for the crystal system: orthorhombic. The value obtained for the formation energy is 1.29 eV/f.u. As for the space-group type: Immm, No. 71. The energy above the lowest structure with this stoichiometry comes out at 0.119 eV per atom. The value obtained for the total magnetization is 1.83 μB/cell.



10.
RuAu | PBE-GGA | relaxed

Cell and atoms, written as POSCAR:
```
RuAu
1.0
-1.8039 2.6186 3.7180
1.3814 -1.9656 4.2618
2.5147 1.2730 -3.9988
Ru Au
2 2
direct
0.2500 0.7500 0.5000
0.5000 0.5000 0.0000
0.7500 0.2500 0.5000
0.0000 0.0000 0.0000
```

Summary:
Its density of states at the Fermi level is 1.119 states/eV/atom. As for the theoretical density: 15.698 g cm⁻³. As for the crystal system: tetragonal. The value obtained for the formation energy is 0.83 eV/f.u. As for the space-group type: I4_1/amd, No. 141. The energy above the lowest structure with this stoichiometry comes out at 0.237 eV per atom. The value obtained for the total magnetization is 0.00 μB/cell.



11.
RuAu | PBE-GGA | relaxed

Cell and atoms, written as POSCAR:
```
RuAu
1.0
4.5301 0.0000 0.0000
2.2650 3.9232 0.0000
2.2650 1.3077 3.6988
Au Ru
2 2
direct
0.7500 0.7500 0.7500
0.0000 0.0000 0.0000
0.2500 0.2500 0.2500
0.5000 0.5000 0.5000
```

Summary:
Its density of states at the Fermi level is 1.227 states/eV/atom. As for the theoretical density: 15.057 g cm⁻³. As for the crystal system: cubic. The value obtained for the formation energy is 1.20 eV/f.u. As for the space-group type: Fd-3m, No. 227. The energy above the lowest structure with this stoichiometry comes out at 0.423 eV per atom. The value obtained for the total magnetization is 2.83 μB/cell.



12.
RuAu | PBE-GGA | relaxed

Cell and atoms, written as POSCAR:
```
RuAu
1.0
4.1457 0.0000 0.0000
2.0729 3.5903 0.0000
2.0729 1.1968 3.3850
Au Ru
1 1
direct
0.0000 0.0000 0.0000
0.2500 0.2500 0.2500
```

Summary:
Its density of states at the Fermi level is 1.671 states/eV/atom. As for the theoretical density: 9.823 g cm⁻³. As for the crystal system: cubic. The value obtained for the formation energy is 3.42 eV/f.u. As for the space-group type: F-43m, No. 216. The energy above the lowest structure with this stoichiometry comes out at 1.533 eV per atom. The value obtained for the total magnetization is 2.00 μB/cell.



13.
Ru2Au | PBE-GGA | relaxed

Cell and atoms, written as POSCAR:
```
Ru2Au
1.0
-1.5596 -1.6261 -5.8310
-1.2026 -4.9104 -3.6767
-0.5283 3.3760 5.2345
Ru Au
2 1
direct
0.3194 0.3194 0.0000
0.6806 0.6806 0.0000
0.0000 0.0000 0.0000
```

Summary:
Its density of states at the Fermi level is 1.157 states/eV/atom. As for the theoretical density: 14.365 g cm⁻³. As for the crystal system: tetragonal. The value obtained for the formation energy is 0.68 eV/f.u. As for the space-group type: I4/mmm, No. 139. The energy above the lowest structure with this stoichiometry comes out at 0.000 eV per atom. The value obtained for the total magnetization is 0.00 μB/cell.



14.
RuAu | PBE-GGA | relaxed

Cell and atoms, written as POSCAR:
```
RuAu
1.0
-1.0148 -1.4328 -2.6455
2.3207 -2.1496 0.2740
-1.9147 -1.8461 1.7343
Au Ru
1 1
direct
0.0000 0.0000 0.0000
0.5000 0.5000 0.5000
```

Summary:
Its density of states at the Fermi level is 1.238 states/eV/atom. As for the theoretical density: 15.461 g cm⁻³. As for the crystal system: cubic. The value obtained for the formation energy is 1.23 eV/f.u. As for the space-group type: Pm-3m, No. 221. The energy above the lowest structure with this stoichiometry comes out at 0.437 eV per atom. The value obtained for the total magnetization is 0.03 μB/cell.